{
  "formula": "Ac3Nd3Sm",
  "functional": "PBE-GGA",
  "state": "relaxed",
  "lattice": [[-5.8904, 1.7275, 0.1140], [-1.5601, -4.7331, -8.8923], [-1.3106, -5.0466, 8.7596]],
  "species": ["Sm", "Sm", "Ac", "Ac", "Ac", "Ac", "Ac", "Ac", "Nd", "Nd", "Nd", "Nd", "Nd", "Nd"],
  "frac_coords": [[0.2500, 0.6667, 0.3333], [0.7500, 0.3333, 0.6667], [0.7500, 0.9060, 0.3723], [0.2500, 0.5336, 0.9060], [0.7500, 0.6277, 0.5336], [0.2500, 0.0940, 0.6277], [0.2500, 0.3723, 0.4664], [0.7500, 0.4664, 0.0940], [0.7500, 0.0454, 0.8143], [0.7500, 0.7689, 0.9547], [0.2500, 0.8143, 0.7689], [0.2500, 0.9546, 0.1857], [0.7500, 0.1857, 0.2311], [0.2500, 0.2311, 0.0453]],
  "formation_enthalpy_0k_ev_per_fu": 0.340,
  "volume_a3_per_cell": 552,
  "magmom_total_mub_per_fu": 0.000
}